{
  "formula": "BaCuNiAs",
  "functional": "PBE",
  "state": "relaxed",
  "polymorph_energy_mev_per_atom": 69.0,
  "rho_g_cm3": 6.494,
  "lattice_angstrom": [[0.000, 3.497, 3.497], [3.497, 0.000, 3.497], [3.497, 3.497, 0.000]],
  "species": ["Ba", "Cu", "Ni", "As"],
  "frac_coords": [[0.000, 0.000, 0.000], [0.250, 0.250, 0.250], [0.500, 0.500, 0.500], [0.750, 0.750, 0.750]]
}